This record from Alexandria via LeMat-Bulk describes a geometry-optimized Pu2PtS structure. The functional is PBE.

Summary:
**Fermi-level density of states**: 35.340 states/eV/cell
**Magnetic moment**: 22.91 μB per cell
**Energy relative to the lowest polymorph listed for this composition**: 0 meV per atom
**Formation energy without anion corrections**: -474 kJ/mol of formula units
**DFT total energy**: -10.94 eV per atom

a = 4.124 Å, b = 3.952 Å, c = 11.371 Å
α = 100.01°, β = 90.00°, γ = 90.00°
Last column: magnetic moment on the atom in μB.
Fractional coordinates of all 8 atoms:
Pu 0.750 0.683 0.366  5.48
Pu 0.250 0.317 0.634  5.48
Pu 0.750 0.932 0.865  5.29
Pu 0.250 0.068 0.135  5.29
Pt 0.250 0.455 0.910  -0.08
Pt 0.750 0.545 0.090  -0.08
S 0.250 0.192 0.384  -0.12
S 0.750 0.808 0.616  -0.12